This record from Alexandria describes crystalline KRuRh at its relaxed geometry. The functional is PBE. Values from VASP.

Results
Excess energy over the best structure of this formula in the dataset, kJ/mol of formula units: 275
Formation enthalpy at 0 K, meV per atom: 1434
DOS(E_F), states/eV/f.u.: 4.79
Total magnetization, μB per formula unit: 1.35

Structure (Quantum ESPRESSO input):
```
&SYSTEM
  ibrav = 0, nat = 3, ntyp = 3
/
ATOMIC_SPECIES
Ru 101.07 Ru.upf
K 39.10 K.upf
Rh 102.91 Rh.upf
CELL_PARAMETERS angstrom
3.1377 -1.0475 3.0143
-0.2322 -3.8818 2.2150
2.9446 -3.2548 -0.8741
ATOMIC_POSITIONS crystal
Ru 0.0000 0.0000 0.0000
K 0.2500 0.2500 0.2500
Rh 0.7500 0.7500 0.7500
```

This record from Alexandria describes crystalline ErCdCoAg at its relaxed geometry. The functional is PBE. Values from VASP.

Results
Formation enthalpy at 0 K, meV per atom: -40
DOS(E_F), states/eV/f.u.: 2.19
Total magnetization, μB per formula unit: 0.63

Structure (Quantum ESPRESSO input):
```
&SYSTEM
  ibrav = 0, nat = 4, ntyp = 4
/
ATOMIC_SPECIES
Cd 112.41 Cd.upf
Co 58.93 Co.upf
Ag 107.87 Ag.upf
Er 167.26 Er.upf
CELL_PARAMETERS angstrom
4.7479 0.0000 0.0000
2.3740 4.1118 0.0000
2.3740 1.3706 3.8767
ATOMIC_POSITIONS crystal
Cd 0.7500 0.7500 0.7500
Co 0.5000 0.5000 0.5000
Ag 0.0000 0.0000 0.0000
Er 0.2500 0.2500 0.2500
```

This record from Alexandria describes crystalline Li7Ac3Zn4 at its relaxed geometry. The functional is PBE. Values from VASP.

Results
Formation enthalpy at 0 K, meV per atom: -102
DOS(E_F), states/eV/f.u.: 10.11
Total magnetization, μB per formula unit: 0.00

Structure (Quantum ESPRESSO input):
```
&SYSTEM
  ibrav = 0, nat = 14, ntyp = 3
/
ATOMIC_SPECIES
Li 6.94 Li.upf
Ac 227.00 Ac.upf
Zn 65.41 Zn.upf
CELL_PARAMETERS angstrom
4.7875 0.0000 1.2078
1.7519 7.9506 3.1480
0.3360 0.4121 8.7606
ATOMIC_POSITIONS crystal
Li 0.3355 0.8151 0.5139
Li 0.5019 0.1860 0.8103
Li 0.8602 0.3516 0.9280
Li 0.6645 0.1849 0.4861
Li 0.1398 0.6484 0.0720
Li 0.0000 0.0000 0.0000
Li 0.4981 0.8140 0.1897
Ac 0.2842 0.2132 0.2184
Ac 0.7158 0.7868 0.7816
Ac 0.0000 0.5000 0.5000
Zn 0.6569 0.4897 0.1966
Zn 0.3431 0.5103 0.8034
Zn 0.8697 0.9219 0.3387
Zn 0.1303 0.0781 0.6613
```